Entry 1:
# LaTe2PdO8 PBE relaxed
data_LaTe2PdO8
_cell_length_a 6.1689
_cell_length_b 6.1689
_cell_length_c 6.5160
_cell_angle_alpha 90.00
_cell_angle_beta 90.00
_cell_angle_gamma 120.00
_space_group_name_H-M_alt 'P -3 m 1'
_space_group_IT_number 164
_space_group_name_Hall '-P 3 2"'
loop_
_atom_site_label
_atom_site_type_symbol
_atom_site_fract_x
_atom_site_fract_y
_atom_site_fract_z
La1 La 0.0000 0.0000 0.0000
Te1 Te 0.3333 0.6667 0.3031
Pd1 Pd 0.0000 0.0000 0.5000
O1 O 0.1432 0.2863 0.2959
O2 O 0.3333 0.6667 0.0218
# E_tot (eV per atom): -5.855
# Volume (A^3/atom): 17.90

Entry 2:
# La2TlPdO6 PBE relaxed
data_La2TlPdO6
_cell_length_a 5.723
_cell_length_b 6.152
_cell_length_c 10.027
_cell_angle_alpha 90.00
_cell_angle_beta 124.49
_cell_angle_gamma 90.00
_space_group_name_H-M_alt 'P 1 21/c 1'
_space_group_IT_number 14
loop_
_space_group_symop_operation_xyz
'x,y,z'
'-x,-y,-z'
'-x,y+1/2,-z+1/2'
'x,-y+1/2,z+1/2'
loop_
_atom_site_label
_atom_site_type_symbol
_atom_site_fract_x
_atom_site_fract_y
_atom_site_fract_z
La1 La 0.231 0.070 0.252
Tl1 Tl 0.500 0.000 0.000
Pd1 Pd 0.000 0.000 0.500
O1 O 0.113 0.204 0.933
O2 O 0.240 0.679 0.942
O3 O 0.359 0.054 0.734
# E_tot (eV per atom): -6.669
# Volume (A^3/atom): 14.55

Entry 3:
# La2TlPdO5 PBE relaxed
data_La2TlPdO5
_cell_length_a 7.037
_cell_length_b 7.037
_cell_length_c 5.872
_cell_angle_alpha 90.00
_cell_angle_beta 90.00
_cell_angle_gamma 90.00
_space_group_name_H-M_alt 'P 4/m b m'
_space_group_IT_number 127
_space_group_name_Hall '-P 4 2ab'
loop_
_atom_site_label
_atom_site_type_symbol
_atom_site_fract_x
_atom_site_fract_y
_atom_site_fract_z
La1 La 0.178 0.322 0.000
Tl1 Tl 0.000 0.000 0.500
Pd1 Pd 0.000 0.500 0.500
O1 O 0.000 0.000 0.000
O2 O 0.133 0.633 0.245
# E_tot (eV per atom): -6.763
# Volume (A^3/atom): 16.16